An optimized crystal structure of TbPr2In. Source: Alexandria, functional PBE-GGA.

Cell and atoms, written as POSCAR:
```
TbPr2In
1.0
5.031 0.000 0.000
0.000 4.948 0.000
0.000 0.000 4.948
In Tb Pr
1 1 2
Direct
0.500 0.000 0.000
0.500 0.500 0.500
0.000 0.000 0.500
0.000 0.500 0.000
```

Calculated values
Energy above the most stable polymorph in this dataset in eV per atom: 0.0000
Calculated volume in Å³/f.u.: 123.2
Electronic total energy in eV per atom: -4.501
Space group: P4/mmm (123)
Formation energy from the elements in meV per atom: -269
Total moment in μB/f.u.: 0.01